Er8Tm3Sc3 | the Alexandria database | GGA-PBE | optimized geometry; E_form = 0.130 eV/atom; total moment = 0.00 μB per formula unit; DOS at the Fermi energy = 23.474 states/eV per cell; symmetry = Immm
1.0
-2.7250 5.1799 7.3060
2.7250 -5.1799 7.3060
2.7250 5.1799 -7.3060
Er Tm Sc
8 3 3
Direct
0.0577 0.3976 0.6601
0.0612 0.2198 0.8413
0.2625 0.6024 0.6601
0.3785 0.2198 0.1587
0.6215 0.7802 0.8413
0.7375 0.3976 0.3399
0.9388 0.7802 0.1587
0.9423 0.6024 0.3399
0.3231 0.8231 0.5000
0.5000 0.5000 0.0000
0.6769 0.1769 0.5000
0.0000 0.0000 0.0000
0.2943 0.0000 0.2943
0.7057 0.0000 0.7057

---

ErTm7Sc4 | the Alexandria database | GGA-PBE | optimized geometry; E_form = 0.264 eV/atom; total moment = 0.53 μB per formula unit; energy above the most stable polymorph in this dataset = 245 meV per atom; DOS at the Fermi energy = 19.906 states/eV per cell; symmetry = C2/m
1.0
7.6926 -2.8352 0.0000
7.6926 2.8352 0.0000
-4.8560 0.0000 7.9573
Er Tm Sc
1 7 4
Direct
0.0000 0.0000 0.0000
0.0865 0.0865 0.4412
0.2062 0.2062 0.8806
0.2464 0.2464 0.2809
0.5000 0.5000 0.0000
0.7536 0.7536 0.7191
0.7938 0.7938 0.1194
0.9135 0.9135 0.5588
0.3297 0.3297 0.6551
0.4479 0.4479 0.2956
0.5521 0.5521 0.7044
0.6703 0.6703 0.3449